This record from Alexandria via LeMat-Bulk describes CsAlTlGe2 after structural relaxation. The functional is PBE.

Unit cell a=5.0903 b=5.0903 c=6.3739 alpha=90.00 beta=90.00 gamma=90.00
With the nearest neighbours (Å) after each atom.
Sites, in units of the cell vectors:
Cs 0.0000 0.0000 0.0000  2 Al 3.19
Al 0.0000 0.0000 0.5000  4 Ge 2.55
Tl 0.5000 0.5000 0.0000  4 Cs 3.60
Ge 0.0000 0.5000 0.5000  2 Al 2.55
Ge 0.5000 0.0000 0.5000  2 Al 2.55

Space-group type = P4/mmm, No. 123
E_form = 2.4 eV per formula unit
Spin magnetization = 0.0 μB/cell
Final energy = -2.765 eV/atom
ΔE to the lowest computed polymorph = 0 meV per atom